The following is a DFT calculation (PBE with a Hubbard U) of an optimized crystal structure of LiBeCoF6.

abc: 4.7291 4.7291 9.0231
angles: 90.00 90.00 120.00
Element x y z (fractional)
Li 0.0000 0.0000 0.0000
Li 0.0000 0.0000 0.5000
Be 0.3333 0.6667 0.2500
Be 0.6667 0.3333 0.7500
Co 0.3333 0.6667 0.7500
Co 0.6667 0.3333 0.2500
F 0.0147 0.3644 0.1402
F 0.0147 0.6503 0.3598
F 0.3497 0.3644 0.3598
F 0.3497 0.9853 0.1402
F 0.3644 0.0147 0.6402
F 0.3644 0.3497 0.8598
F 0.6356 0.6503 0.1402
F 0.6356 0.9853 0.3598
F 0.6503 0.0147 0.8598
F 0.6503 0.6356 0.6402
F 0.9853 0.3497 0.6402
F 0.9853 0.6356 0.8598

Its total energy is -88.24 eV per cell. The spin magnetization is 0.08 μB per formula unit.